Model w:
# PaGa2Pt4, relaxed, DFT GGA-PBE
# Fermi-level density of states (states/eV per cell): 10.361
# Crystal system: trigonal
data_PaGa2Pt4
_chemical_formula_sum 'Pa3 Ga6 Pt12'
_space_group_name_H-M_alt 'R -3 m'
_space_group_IT_number 166
_space_group_name_Hall '-R 3 2"'
_cell_length_a 4.2303
_cell_length_b 4.2303
_cell_length_c 24.7967
_cell_angle_alpha 90.00
_cell_angle_beta 90.00
_cell_angle_gamma 120.00
loop_
_atom_site_label
_atom_site_fract_x
_atom_site_fract_y
_atom_site_fract_z
_atom_site_occupancy
Pa1 0.0000 0.0000 0.0000 1
Ga1 0.0000 0.0000 0.2359 1
Pt1 0.0000 0.0000 0.1328 1
Pt2 0.0000 0.0000 0.3994 1

Model x:
# PaGa2Pt4, relaxed, DFT GGA-PBE
# Fermi-level density of states (states/eV per cell): 13.197
# Crystal system: orthorhombic
data_PaGa2Pt4
_chemical_formula_sum 'Pa4 Ga8 Pt16'
_space_group_name_H-M_alt 'P n m a'
_space_group_IT_number 62
_cell_length_a 16.475
_cell_length_b 4.100
_cell_length_c 7.428
_cell_angle_alpha 90.00
_cell_angle_beta 90.00
_cell_angle_gamma 90.00
loop_
_space_group_symop_operation_xyz
'x,y,z'
'-x,-y,-z'
'-x+1/2,-y,z+1/2'
'x+1/2,y,-z+1/2'
'x+1/2,-y+1/2,-z+1/2'
'-x+1/2,y+1/2,z+1/2'
'-x,y+1/2,-z'
'x,-y+1/2,z'
loop_
_atom_site_label
_atom_site_fract_x
_atom_site_fract_y
_atom_site_fract_z
_atom_site_occupancy
Pa1 0.151 0.250 0.086 1
Ga1 0.011 0.750 0.253 1
Ga2 0.179 0.250 0.631 1
Pt1 0.049 0.750 0.918 1
Pt2 0.053 0.250 0.431 1
Pt3 0.172 0.750 0.380 1
Pt4 0.212 0.750 0.836 1

Energetically preferred structure: model x | next structure: +27 meV per atom

Model w:
# Pa3Ga2Pt4, relaxed, DFT GGA-PBE
# Fermi-level density of states (states/eV per cell): 19.743
# Crystal system: monoclinic
data_Pa3Ga2Pt4
_chemical_formula_sum 'Pa6 Ga4 Pt8'
_space_group_name_H-M_alt 'C 1 2/m 1'
_space_group_IT_number 12
_cell_length_a 10.557
_cell_length_b 4.488
_cell_length_c 8.523
_cell_angle_alpha 90.00
_cell_angle_beta 118.78
_cell_angle_gamma 90.00
loop_
_space_group_symop_operation_xyz
'x,y,z'
'-x,-y,-z'
'-x,y,-z'
'x,-y,z'
'x+1/2,y+1/2,z'
'-x+1/2,-y+1/2,-z'
'-x+1/2,y+1/2,-z'
'x+1/2,-y+1/2,z'
loop_
_atom_site_label
_atom_site_fract_x
_atom_site_fract_y
_atom_site_fract_z
_atom_site_occupancy
Pa1 0.000 0.000 0.000 1
Pa2 0.139 0.500 0.679 1
Ga1 0.154 0.500 0.322 1
Pt1 0.070 0.000 0.391 1
Pt2 0.215 0.500 0.069 1

Model x:
# Pa3Ga2Pt4, relaxed, DFT GGA-PBE
# Fermi-level density of states (states/eV per cell): 17.142
# Crystal system: orthorhombic
data_Pa3Ga2Pt4
_chemical_formula_sum 'Pa6 Ga4 Pt8'
_space_group_name_H-M_alt 'I m m m'
_space_group_IT_number 71
_space_group_name_Hall '-I 2 2'
_cell_length_a 3.585
_cell_length_b 9.858
_cell_length_c 10.689
_cell_angle_alpha 90.00
_cell_angle_beta 90.00
_cell_angle_gamma 90.00
loop_
_atom_site_label
_atom_site_fract_x
_atom_site_fract_y
_atom_site_fract_z
_atom_site_occupancy
Pa1 0.000 0.000 0.000 1
Pa2 0.000 0.163 0.500 1
Ga1 0.000 0.500 0.210 1
Pt1 0.000 0.190 0.175 1

Energetically preferred structure: model w | next structure: +372 meV per atom

Model w:
# Pa3Ga4Pt2, relaxed, DFT GGA-PBE
# Fermi-level density of states (states/eV per cell): 17.808
# Crystal system: orthorhombic
data_Pa3Ga4Pt2
_chemical_formula_sum 'Pa6 Ga8 Pt4'
_space_group_name_H-M_alt 'I m m m'
_space_group_IT_number 71
_space_group_name_Hall '-I 2 2'
_cell_length_a 4.163
_cell_length_b 7.230
_cell_length_c 13.115
_cell_angle_alpha 90.00
_cell_angle_beta 90.00
_cell_angle_gamma 90.00
loop_
_atom_site_label
_atom_site_fract_x
_atom_site_fract_y
_atom_site_fract_z
_atom_site_occupancy
Pa1 0.000 0.000 0.000 1
Pa2 0.000 0.500 0.107 1
Ga1 0.000 0.310 0.308 1
Pt1 0.000 0.225 0.500 1

Model x:
# Pa3Ga4Pt2, relaxed, DFT GGA-PBE
# Fermi-level density of states (states/eV per cell): 18.673
# Crystal system: monoclinic
data_Pa3Ga4Pt2
_chemical_formula_sum 'Pa6 Ga8 Pt4'
_space_group_name_H-M_alt 'C 1 2/m 1'
_space_group_IT_number 12
_cell_length_a 10.527
_cell_length_b 4.485
_cell_length_c 8.397
_cell_angle_alpha 90.00
_cell_angle_beta 114.44
_cell_angle_gamma 90.00
loop_
_space_group_symop_operation_xyz
'x,y,z'
'-x,-y,-z'
'-x,y,-z'
'x,-y,z'
'x+1/2,y+1/2,z'
'-x+1/2,-y+1/2,-z'
'-x+1/2,y+1/2,-z'
'x+1/2,-y+1/2,z'
loop_
_atom_site_label
_atom_site_fract_x
_atom_site_fract_y
_atom_site_fract_z
_atom_site_occupancy
Pa1 0.000 0.000 0.000 1
Pa2 0.184 0.500 0.657 1
Ga1 0.020 0.000 0.363 1
Ga2 0.222 0.500 0.055 1
Pt1 0.100 0.500 0.278 1

Energetically preferred structure: model x | next structure: +173 meV per atom

Model w:
# PuPaGa2, relaxed, DFT GGA-PBE
# Fermi-level density of states (states/eV per cell): 8.123
# Crystal system: tetragonal
data_PuPaGa2
_chemical_formula_sum 'Pu1 Pa1 Ga2'
_space_group_name_H-M_alt 'P 4/m m m'
_space_group_IT_number 123
_space_group_name_Hall '-P 4 2'
_cell_length_a 3.947
_cell_length_b 3.947
_cell_length_c 5.648
_cell_angle_alpha 90.00
_cell_angle_beta 90.00
_cell_angle_gamma 90.00
loop_
_atom_site_label
_atom_site_fract_x
_atom_site_fract_y
_atom_site_fract_z
_atom_site_occupancy
Pu1 0.000 0.000 0.000 1
Pa1 0.000 0.000 0.500 1
Ga1 0.500 0.500 0.247 1

Model x:
# PuPaGa2, relaxed, DFT GGA-PBE
# Fermi-level density of states (states/eV per cell): 9.248
# Crystal system: tetragonal
data_PuPaGa2
_chemical_formula_sum 'Pu1 Pa1 Ga2'
_space_group_name_H-M_alt 'P 4/m m m'
_space_group_IT_number 123
_space_group_name_Hall '-P 4 2'
_cell_length_a 4.363
_cell_length_b 4.363
_cell_length_c 4.431
_cell_angle_alpha 90.00
_cell_angle_beta 90.00
_cell_angle_gamma 90.00
loop_
_atom_site_label
_atom_site_fract_x
_atom_site_fract_y
_atom_site_fract_z
_atom_site_occupancy
Pu1 0.000 0.000 0.000 1
Pa1 0.500 0.500 0.000 1
Ga1 0.000 0.500 0.500 1

Model y:
# PuPaGa2, relaxed, DFT GGA-PBE
# Fermi-level density of states (states/eV per cell): 29.503
# Crystal system: cubic
data_PuPaGa2
_chemical_formula_sum 'Pu4 Pa4 Ga8'
_space_group_name_H-M_alt 'F m -3 m'
_space_group_IT_number 225
_space_group_name_Hall '-F 4 2 3'
_cell_length_a 7.095
_cell_length_b 7.095
_cell_length_c 7.095
_cell_angle_alpha 90.00
_cell_angle_beta 90.00
_cell_angle_gamma 90.00
loop_
_atom_site_label
_atom_site_fract_x
_atom_site_fract_y
_atom_site_fract_z
_atom_site_occupancy
Pu1 0.000 0.000 0.000 1
Pa1 0.000 0.000 0.500 1
Ga1 0.250 0.250 0.250 1

Energetically preferred structure: model x | next structure: +33 meV per atom

Model w:
# Pu3PaGa8, relaxed, DFT GGA-PBE
# Fermi-level density of states (states/eV per cell): 19.160
# Crystal system: trigonal
data_Pu3PaGa8
_chemical_formula_sum 'Pu3 Pa1 Ga8'
_space_group_name_H-M_alt 'P 3 m 1'
_space_group_IT_number 156
_cell_length_a 5.6012
_cell_length_b 5.6012
_cell_length_c 8.5566
_cell_angle_alpha 90.00
_cell_angle_beta 90.00
_cell_angle_gamma 120.00
loop_
_space_group_symop_operation_xyz
'x,y,z'
'-y,x-y,z'
'-x+y,-x,z'
'-y,-x,z'
'-x+y,y,z'
'x,x-y,z'
loop_
_atom_site_label
_atom_site_fract_x
_atom_site_fract_y
_atom_site_fract_z
_atom_site_occupancy
Pu1 0.0000 0.0000 0.0000 1
Pu2 0.0000 0.0000 0.3164 1
Pu3 0.3333 0.6667 0.8211 1
Pa1 0.3333 0.6667 0.4962 1
Ga1 0.0180 0.5090 0.1605 1
Ga2 0.3149 0.1574 0.6583 1
Ga3 0.6667 0.3333 0.4082 1
Ga4 0.6667 0.3333 0.9110 1

Model x:
# Pu3PaGa8, relaxed, DFT GGA-PBE
# Fermi-level density of states (states/eV per cell): 63.418
# Crystal system: trigonal
data_Pu3PaGa8
_chemical_formula_sum 'Pu9 Pa3 Ga24'
_space_group_name_H-M_alt 'R 3 m'
_space_group_IT_number 160
_space_group_name_Hall 'R 3 -2"'
_cell_length_a 5.4761
_cell_length_b 5.4761
_cell_length_c 27.0768
_cell_angle_alpha 90.00
_cell_angle_beta 90.00
_cell_angle_gamma 120.00
loop_
_atom_site_label
_atom_site_fract_x
_atom_site_fract_y
_atom_site_fract_z
_atom_site_occupancy
Pu1 0.0000 0.0000 0.0000 1
Pu2 0.0000 0.0000 0.1269 1
Pu3 0.0000 0.0000 0.5012 1
Pa1 0.0000 0.0000 0.6268 1
Ga1 0.0000 0.0000 0.3140 1
Ga2 0.0000 0.0000 0.8135 1
Ga3 0.9998 0.4999 0.0634 1
Ga4 0.0002 0.5001 0.5642 1

Energetically preferred structure: model x | next structure: +9 meV per atom

Model w:
# Pu3Pa2Ga, relaxed, DFT GGA-PBE
# Fermi-level density of states (states/eV per cell): 68.248
# Crystal system: monoclinic
data_Pu3Pa2Ga
_chemical_formula_sum 'Pu12 Pa8 Ga4'
_space_group_name_H-M_alt 'C 1 2/c 1'
_space_group_IT_number 15
_cell_length_a 8.131
_cell_length_b 9.179
_cell_length_c 7.755
_cell_angle_alpha 90.00
_cell_angle_beta 105.99
_cell_angle_gamma 90.00
loop_
_space_group_symop_operation_xyz
'x,y,z'
'-x,-y,-z'
'-x,y,-z+1/2'
'x,-y,z+1/2'
'x+1/2,y+1/2,z'
'-x+1/2,-y+1/2,-z'
'-x+1/2,y+1/2,-z+1/2'
'x+1/2,-y+1/2,z+1/2'
loop_
_atom_site_label
_atom_site_fract_x
_atom_site_fract_y
_atom_site_fract_z
_atom_site_occupancy
Pu1 0.000 0.114 0.250 1
Pu2 0.236 0.091 0.977 1
Pa1 0.135 0.262 0.628 1
Ga1 0.000 0.432 0.250 1

Model x:
# Pu3Pa2Ga, relaxed, DFT GGA-PBE
# Fermi-level density of states (states/eV per cell): 28.541
# Crystal system: orthorhombic
data_Pu3Pa2Ga
_chemical_formula_sum 'Pu6 Pa4 Ga2'
_space_group_name_H-M_alt 'P m c 21'
_space_group_IT_number 26
_cell_length_a 4.746
_cell_length_b 9.209
_cell_length_c 6.151
_cell_angle_alpha 90.00
_cell_angle_beta 90.00
_cell_angle_gamma 90.00
loop_
_space_group_symop_operation_xyz
'x,y,z'
'-x,-y,z+1/2'
'-x,y,z'
'x,-y,z+1/2'
loop_
_atom_site_label
_atom_site_fract_x
_atom_site_fract_y
_atom_site_fract_z
_atom_site_occupancy
Pu1 0.000 0.039 0.000 1
Pu2 0.000 0.315 0.488 1
Pu3 0.500 0.428 0.608 1
Pa1 0.000 0.353 0.031 1
Pa2 0.500 0.154 0.760 1
Ga1 0.500 0.181 0.260 1

Energetically preferred structure: model x | next structure: +55 meV per atom